Record 1
A plane-wave DFT calculation with GGA-PBE was carried out for PmNdAlAu after structural relaxation.

```
PmNdAlAu
1.0
-5.068 0.790 -1.272
-1.659 -0.911 -4.934
-3.145 -4.125 -1.011
Pm Al Au Nd
1 1 1 1
Direct
0.500 0.500 0.500 Pm
0.750 0.750 0.750 Al
0.250 0.250 0.250 Au
0.000 0.000 0.000 Nd
```

Properties
- Volume: 104.38 Å³/cell
- DFT total energy: -0.3398 Ry/atom
- ΔE_f: -0.49 eV/atom



Record 2
A plane-wave DFT calculation with GGA-PBE was carried out for LiNiSe2 after structural relaxation.

```
LiNiSe2
1.0
3.093 0.000 0.000
0.000 3.093 0.000
0.000 0.000 6.831
Se Li Ni
2 1 1
Direct
0.000 0.000 0.523 Se
0.000 0.000 0.977 Se
0.500 0.500 0.250 Li
0.500 0.500 0.750 Ni
```

Properties
- Volume: 65.36 Å³/cell
- Raw formation energy: -0.209 eV per atom
- DFT total energy: -0.2848 Ry/atom



Record 3
A plane-wave DFT calculation with GGA-PBE was carried out for PrSiAg after structural relaxation.

```
PrSiAg
1.0
-3.581 2.200 0.197
-1.428 -2.030 -3.276
-3.190 -5.630 4.879
Ag Si Pr
2 2 2
Direct
0.812 0.716 0.504 Ag
0.812 0.216 0.289 Ag
0.812 0.716 0.820 Si
0.812 0.216 0.973 Si
0.312 0.216 0.684 Pr
0.312 0.716 0.109 Pr
```

Properties
- Volume: 140.13 Å³/cell
- Raw formation energy: -0.473 eV per atom
- DFT total energy: -0.3545 Ry/atom



Record 4
A plane-wave DFT calculation with GGA-PBE was carried out for LiTm2Ni3Ge4 after structural relaxation.

```
LiTm2Ni3Ge4
1.0
-2.371 -3.245 0.565
2.682 -1.497 2.653
-4.628 4.652 7.304
Ge Li Ni Tm
4 1 3 2
Direct
0.500 0.500 0.000 Ge
0.000 0.500 0.363 Ge
0.500 0.000 0.637 Ge
0.000 0.000 0.000 Ge
0.500 0.500 0.500 Li
0.000 0.000 0.500 Ni
0.000 0.500 0.126 Ni
0.500 0.000 0.874 Ni
0.500 0.000 0.250 Tm
0.000 0.500 0.750 Tm
```

Properties
- Volume: 161.72 Å³/cell
- DFT total energy: -0.3886 Ry/atom
- ΔE_f: -0.62 eV/atom